Entry 1:
This record from Alexandria describes crystalline Ac3Tb2Sn3 at its relaxed geometry. The functional is PBE-GGA.

abc: 4.464 5.155 23.692
angles: 90.00 90.00 90.00
Space group Immm (No. 71)
Unique sites:
Ac1 0.000 0.000 0.000 (multiplicity 2)
Ac2 0.000 0.500 0.120 (multiplicity 4)
Tb1 0.000 0.000 0.258 (multiplicity 4)
Sn1 0.000 0.000 0.500 (multiplicity 2)
Sn2 0.000 0.500 0.344 (multiplicity 4)

Values from the calculation:
E_form: -518 meV per atom
crystal system: orthorhombic
excess energy over the best structure of this formula in the dataset: 120 meV per atom
N(E_F): 1.057 states/eV per atom

***

Entry 2:
This record from Alexandria describes crystalline CdAsPd2 at its relaxed geometry. The functional is PBE-GGA.

abc: 4.2310 4.2310 14.3623
angles: 90.00 90.00 120.00
Space group R3m (No. 160, hexagonal axes)
Unique sites:
Cd1 0.0000 0.0000 0.0000 (multiplicity 3)
As1 0.0000 0.0000 0.8076 (multiplicity 3)
Pd1 0.0000 0.0000 0.2208 (multiplicity 3)
Pd2 0.0000 0.0000 0.4386 (multiplicity 3)

Values from the calculation:
E_form: -232 meV per atom
crystal system: trigonal
N(E_F): 0.456 states/eV per atom

***

Entry 3:
This record from Alexandria describes crystalline Y4Te2N at its relaxed geometry. The functional is PBE-GGA.

abc: 4.622 4.622 16.045
angles: 90.00 90.00 90.00
Space group I4/mmm (No. 139)
Unique sites:
Y1 0.000 0.000 0.164 (multiplicity 4)
Y2 0.000 0.500 0.000 (multiplicity 4)
Te1 0.000 0.000 0.358 (multiplicity 4)
N1 0.000 0.000 0.000 (multiplicity 2)

Values from the calculation:
crystal system: tetragonal
N(E_F): 0.742 states/eV per atom
uncorrected formation energy: -1074 meV/atom

***

Entry 4:
This record from Alexandria describes crystalline Mg2Pd3Pt2 at its relaxed geometry. The functional is PBE-GGA.

abc: 9.215 2.853 9.272
angles: 90.00 112.16 90.00
Space group C2/m (No. 12)
Unique sites:
Mg1 0.050 0.000 0.275 (multiplicity 4)
Pd1 0.000 0.500 0.000 (multiplicity 2)
Pd2 0.180 0.000 0.591 (multiplicity 4)
Pt1 0.220 0.500 0.861 (multiplicity 4)

Values from the calculation:
E_form: -481 meV per atom
crystal system: monoclinic
N(E_F): 0.583 states/eV per atom

***

Entry 5:
This record from Alexandria describes crystalline Ce2Ga3Ir at its relaxed geometry. The functional is PBE-GGA.

abc: 10.299 4.463 7.168
angles: 90.00 131.29 90.00
Space group Cm (No. 8)
Unique sites:
Ce1 0.000 0.000 0.000 (multiplicity 2)
Ce2 0.093 0.000 0.609 (multiplicity 2)
Ga1 0.212 0.500 0.393 (multiplicity 2)
Ga2 0.380 0.000 0.198 (multiplicity 2)
Ga3 0.387 0.000 0.598 (multiplicity 2)
Ir1 0.213 0.500 0.991 (multiplicity 2)

Values from the calculation:
E_form: -676 meV per atom
crystal system: monoclinic
N(E_F): 1.442 states/eV per atom

***

Entry 6:
This record from Alexandria describes crystalline MgMnNb2Cr at its relaxed geometry. The functional is PBE-GGA.

abc: 4.720 4.720 4.156
angles: 90.00 90.00 90.00
Space group P4/mmm (No. 123)
Unique sites:
Mg1 0.000 0.000 0.000 (multiplicity 1)
Mn1 0.500 0.500 0.500 (multiplicity 1)
Nb1 0.000 0.500 0.000 (multiplicity 2)
Cr1 0.000 0.000 0.500 (multiplicity 1)

Values from the calculation:
E_form: 2227 meV per atom
crystal system: tetragonal
N(E_F): 1.800 states/eV per atom